HfSe2I: relaxed, PBE.

Cell lengths 7.4858, 7.4858, 7.5677 Å; angles 60.36, 60.36, 90.00 degrees
Fractional coordinates of all 8 atoms:
I: 0.5000 0.5000 0.0000
I: 0.2500 0.7500 0.5000
Hf: 0.0000 0.0000 0.0000
Hf: 0.7500 0.2500 0.5000
Se: 0.7400 0.1250 0.2500
Se: 0.0100 0.6250 0.2500
Se: 0.3750 0.2600 0.7500
Se: 0.8750 0.9900 0.7500

**SG**: I-42d (122)
**E above lowest polymorph**: 42.3 kJ/mol of atoms

---

HfSeI: relaxed, PBE.

Cell lengths 6.2882, 8.7919, 8.5333 Å; angles 52.51, 90.00, 90.00 degrees
Fractional coordinates of all 12 atoms:
I: 0.2500 0.8941 0.9182
I: 0.7500 0.1059 0.0818
I: 0.7500 0.6059 0.5818
I: 0.2500 0.3941 0.4182
Se: 0.7500 0.5687 0.0799
Se: 0.7500 0.0687 0.5799
Se: 0.2500 0.4313 0.9201
Se: 0.2500 0.9313 0.4201
Hf: 0.5000 0.2500 0.2500
Hf: 0.5000 0.7500 0.7500
Hf: 0.0000 0.7500 0.7500
Hf: 0.0000 0.2500 0.2500

**SG**: P2_1/m (11)

---

HfSe2I: relaxed, PBE.

Cell lengths 3.6793, 3.6793, 11.5261 Å; angles 90.00, 90.00, 60.00 degrees
Fractional coordinates of all 4 atoms:
Hf: 0.1986 0.1986 0.3236
Se: 0.5320 0.5320 0.1831
Se: 0.8651 0.8651 0.4639
I: 0.5327 0.5327 0.8014

**SG**: P3m1 (156)
**E above lowest polymorph**: 0.0 kJ/mol of atoms

---

HfSe2I4: relaxed, PBE.

Cell lengths 4.0605, 7.1921, 10.9417 Å; angles 101.43, 100.69, 90.00 degrees
Fractional coordinates of all 7 atoms:
Hf: 0.0000 0.0000 0.0000
Se: 0.2404 0.4091 0.4808
Se: 0.7596 0.5909 0.5192
I: 0.1078 0.8456 0.2155
I: 0.8922 0.1544 0.7845
I: 0.4434 0.7281 0.8868
I: 0.5566 0.2719 0.1132

**SG**: C2/m (12)

---

HfSe3I: relaxed, PBE.

Cell lengths 5.2097, 5.2097, 5.2097 Å; angles 90.00, 90.00, 90.00 degrees
Fractional coordinates of all 5 atoms:
I: 0.5000 0.5000 0.5000
Hf: 0.0000 0.0000 0.0000
Se: 0.0000 0.5000 0.0000
Se: 0.0000 0.0000 0.5000
Se: 0.5000 0.0000 0.0000

**SG**: Pm-3m (221)
**E above lowest polymorph**: 0.0 kJ/mol of atoms

---

HfSe2I: relaxed, PBE.

Cell lengths 5.0200, 5.0200, 5.0200 Å; angles 60.00, 60.00, 60.00 degrees
Fractional coordinates of all 4 atoms:
I: 0.0000 0.0000 0.0000
Hf: 0.5000 0.5000 0.5000
Se: 0.2500 0.2500 0.2500
Se: 0.7500 0.7500 0.7500

**SG**: Fm-3m (225)
**E above lowest polymorph**: 82.5 kJ/mol of atoms

---

HfSe2I: relaxed, PBE.

Cell lengths 10.1373, 10.1373, 10.1373 Å; angles 20.34, 20.34, 20.34 degrees
Fractional coordinates of all 4 atoms:
I: 0.5000 0.5000 0.5000
Hf: 0.0000 0.0000 0.0000
Se: 0.9162 0.9162 0.9162
Se: 0.0838 0.0838 0.0838

**SG**: R-3m (166)
**E above lowest polymorph**: 124.2 kJ/mol of atoms

---

HfSe3I: relaxed, PBE.

Cell lengths 5.2975, 5.2975, 5.2975 Å; angles 90.00, 90.00, 90.00 degrees
Fractional coordinates of all 5 atoms:
I: 0.0000 0.0000 0.0000
Hf: 0.5000 0.5000 0.5000
Se: 0.0000 0.5000 0.0000
Se: 0.0000 0.0000 0.5000
Se: 0.5000 0.0000 0.0000

**SG**: Pm-3m (221)
**E above lowest polymorph**: 125.1 kJ/mol of atoms

---

What did we get for uncorrected energy? Answer: -5.08, -6.05, -5.52, -3.82, -4.69, -4.67, -4.23, -3.39 eV/atom, in the order shown.
What did we get for raw formation energy? Answer: -0.47, -1.06, -0.90, -0.52, -0.30, -0.05, 0.38, 1.00 eV/atom, in the order shown.